The following is a PBE calculation of a relaxed structure of La2Co2Cu, from the Alexandria database.

Unit cell a=4.281 b=5.375 c=5.451 alpha=60.78 beta=66.32 gamma=67.20
Fractional positions:
La 0.700 0.801 0.301
La 0.300 0.199 0.699
Co 0.990 0.262 0.240
Cu 0.500 0.500 0.000
Co 0.010 0.738 0.760

## Properties
Electronic total energy ... -5.73 eV per atom
Volume ... 19.47 A^3/atom
Formation energy ... -0.09 eV per atom
DOS(E_F) ... 3.89 states/eV per cell